K2RbAg2 (PBE-GGA, relaxed); energy of formation = 1.20 kcal/mol of atoms; theoretical density = 3.0 g/cm3; relative energy among the computed polymorphs = 3 meV/atom; Fermi-level density of states = 0.7091 states/eV per atom
1.0
-1.724 -8.202 -3.816
4.519 2.585 -7.596
4.226 -1.776 1.909
Ag K Rb
4 4 2
direct
0.111 0.389 0.000
0.611 0.111 0.000
0.889 0.611 0.000
0.389 0.889 0.000
0.338 0.162 0.500
0.838 0.338 0.500
0.662 0.838 0.500
0.162 0.662 0.500
0.500 0.500 0.000
0.000 0.000 0.000

K6RbAg2 (PBE-GGA, relaxed); energy of formation = 0.87 kcal/mol of atoms; theoretical density = 1.8 g/cm3; Fermi-level density of states = 0.6933 states/eV per atom
1.0
-4.386 -9.394 -3.231
9.247 -1.642 5.452
-6.545 5.308 6.850
Ag K Rb
4 12 2
direct
0.500 0.891 0.391
0.620 0.620 0.000
0.500 0.109 0.609
0.380 0.380 0.000
0.882 0.181 0.701
0.688 0.678 0.366
0.312 0.678 0.990
0.312 0.322 0.634
0.118 0.819 0.299
0.236 0.000 0.764
0.688 0.322 0.010
0.764 0.529 0.764
0.520 0.819 0.701
0.236 0.471 0.236
0.480 0.181 0.299
0.764 0.000 0.236
0.000 0.000 0.000
0.000 0.500 0.500